No. 1
Below is an optimized crystal structure of TcNi2Rh, with properties calculated at the PBE level.

## Properties
Size of the total moment in μB per atom: 0.00
Calculated formation energy in eV/atom: 0.057
Relative energy among the computed polymorphs in meV per atom: 87

POSCAR file:
```
TcNi2Rh
1.0
-1.587 4.179 -0.365
-3.587 2.527 -0.931
-1.665 0.568 4.225
Ni Rh Tc
2 1 1
Cartesian
-5.189 6.709 -1.250
-3.404 3.634 1.419
-5.129 5.456 2.197
-1.710 1.819 0.732
```

=====

No. 2
Below is an optimized crystal structure of TcNi3Rh, with properties calculated at the PBE level.

## Properties
Size of the total moment in μB per atom: 0.00
Calculated formation energy in eV/atom: 1.451
Relative energy among the computed polymorphs in meV per atom: 1441

POSCAR file:
```
TcNi3Rh
1.0
-0.094 -1.609 -4.055
1.215 -3.906 1.522
-4.191 -1.096 0.532
Ni Rh Tc
3 1 1
Cartesian
0.607 -1.953 0.761
-2.095 -0.548 0.266
-0.047 -0.805 -2.028
-1.535 -3.305 -1.001
0.000 0.000 0.000
```

=====

No. 3
Below is an optimized crystal structure of Tc2Ni8Rh, with properties calculated at the PBE level.

## Properties
Size of the total moment in μB per atom: 0.13
Calculated formation energy in eV/atom: 0.038

POSCAR file:
```
Tc2Ni8Rh
1.0
2.474 0.000 -0.704
-0.200 7.657 -0.705
0.578 0.196 6.736
Tc Ni Rh
2 8 1
Cartesian
0.692 5.021 2.431
2.161 2.833 2.896
1.470 3.499 0.465
1.138 0.771 4.002
0.459 1.479 1.613
0.026 5.573 0.092
2.394 6.375 3.714
1.714 7.082 1.325
1.383 4.355 4.862
2.826 2.281 5.235
1.237 0.000 -0.352
```